The following is a PBE calculation of an optimized crystal structure of Y2Ta4Cu3C3, from OQMD.

Volume, Å³ per cell: 364
Total energy, eV/atom: -8.641

Cell: 5.565 5.565 13.967 Å, 101.80 101.80 60.11°
Sites, in units of the cell vectors:
C  0.673  0.154  0.000
C  0.000  0.500  0.000
C  0.327  0.846  0.000
C  0.154  0.673  0.500
C  0.500  0.000  0.500
C  0.846  0.327  0.500
Cu  0.414  0.094  0.249
Cu  0.922  0.078  0.250
Cu  0.906  0.586  0.251
Cu  0.094  0.414  0.749
Cu  0.078  0.922  0.750
Cu  0.586  0.906  0.751
Ta  0.018  0.205  0.084
Ta  0.695  0.852  0.084
Ta  0.148  0.305  0.416
Ta  0.795  0.982  0.416
Ta  0.205  0.018  0.584
Ta  0.852  0.695  0.584
Ta  0.305  0.148  0.916
Ta  0.982  0.795  0.916
Y  0.379  0.542  0.121
Y  0.458  0.621  0.379
Y  0.542  0.379  0.621
Y  0.621  0.458  0.879


The following is a PBE calculation of an optimized crystal structure of Ta4ZnCuC2, from OQMD.

Volume, Å³ per cell: 114
Total energy, eV/atom: -9.178

Cell: 3.120 3.120 13.492 Å, 90.00 90.00 120.00°
Sites, in units of the cell vectors:
C  0.333  0.667  0.246
C  0.333  0.667  0.754
Cu  0.000  0.000  0.000
Ta  0.667  0.333  0.155
Ta  0.000  0.000  0.337
Ta  0.000  0.000  0.663
Ta  0.667  0.333  0.845
Zn  0.667  0.333  0.500


The following is a PBE calculation of an optimized crystal structure of Tb2Cu2C3, from OQMD.

Volume, Å³ per cell: 97
Total energy, eV/atom: -6.021

Cell: 5.614 5.614 5.399 Å, 106.47 106.47 36.66°
Sites, in units of the cell vectors:
C  0.711  0.711  0.262
C  0.000  0.000  0.500
C  0.289  0.289  0.738
Cu  0.150  0.150  0.360
Cu  0.850  0.850  0.640
Tb  0.385  0.385  0.207
Tb  0.615  0.615  0.793


Question: Look up the total energy of the first one.
Answer: -8.641 eV/atom


Question: Number 2 is which compound?
Answer: Ta4ZnCuC2